1.
{
  "formula": "Tb3Ce3HoTe8",
  "functional": "PBE",
  "state": "optimized geometry",
  "lattice_angstrom": [[8.7965, 0.0003, -0.0002], [-4.3978, 7.6179, -0.0267], [-0.0007, -5.0530, 7.2936]],
  "species": ["Tb", "Tb", "Tb", "Ce", "Ce", "Ce", "Ho", "Te", "Te", "Te", "Te", "Te", "Te", "Te", "Te"],
  "fractional_positions": [[0.5000, 0.0000, 0.5000], [0.5000, 0.5000, 0.5000], [0.0000, 0.5000, 0.5000], [0.0000, 0.0000, 0.0000], [0.0000, 0.5000, 0.0000], [0.5000, 0.5000, 0.0000], [0.0000, 0.0000, 0.5000], [0.2531, 0.5062, 0.2593], [0.7469, 0.4938, 0.7407], [0.7493, 0.4985, 0.2558], [0.2507, 0.5015, 0.7442], [0.7493, 0.0066, 0.2558], [0.2507, 0.9934, 0.7442], [0.2573, 0.0066, 0.2558], [0.7427, 0.9934, 0.7442]],
  "spacegroup": "R-3m, No. 166",
  "magnetic_moment_mub_per_fu": 3.89,
  "final_energy_ev_per_atom": -5.482,
  "formation_energy_uncorrected_mev_per_atom": -1388
}

---

2.
{
  "formula": "Tb2Ce3HoTe6",
  "functional": "PBE",
  "state": "optimized geometry",
  "lattice_angstrom": [[7.5993, -0.0070, -0.0021], [-3.8039, 6.5787, -0.0021], [-1.2680, -2.1955, 7.3572]],
  "species": ["Tb", "Tb", "Ce", "Ce", "Ce", "Ho", "Te", "Te", "Te", "Te", "Te", "Te"],
  "fractional_positions": [[0.3337, 0.6663, 0.0000], [0.6663, 0.3337, 0.0000], [0.1681, 0.8319, 0.5000], [0.8319, 0.1681, 0.5000], [0.5000, 0.5000, 0.5000], [0.0000, 0.0000, 0.0000], [0.9206, 0.5893, 0.7613], [0.7491, 0.7491, 0.2402], [0.0794, 0.4107, 0.2387], [0.5893, 0.9206, 0.7613], [0.2509, 0.2509, 0.7598], [0.4107, 0.0794, 0.2387]],
  "spacegroup": "C2/m, No. 12",
  "magnetic_moment_mub_per_fu": 3.54,
  "final_energy_ev_per_atom": -5.549,
  "formation_energy_uncorrected_mev_per_atom": -1341
}

---

3.
{
  "formula": "Tb6CeHo3Th2",
  "functional": "PBE",
  "state": "optimized geometry",
  "lattice_angstrom": [[6.1468, 0.0002, 0.0099], [-3.0718, 5.3243, 0.0099], [-1.0459, -1.8110, 11.5572]],
  "species": ["Tb", "Tb", "Tb", "Tb", "Tb", "Tb", "Ce", "Ho", "Ho", "Ho", "Th", "Th"],
  "fractional_positions": [[0.9173, 0.5832, 0.7529], [0.7488, 0.7488, 0.2474], [0.0827, 0.4168, 0.2471], [0.5832, 0.9173, 0.7529], [0.2512, 0.2512, 0.7526], [0.4168, 0.0827, 0.2471], [0.0000, 0.0000, 0.0000], [0.1668, 0.8332, 0.5000], [0.8332, 0.1668, 0.5000], [0.5000, 0.5000, 0.5000], [0.3334, 0.6666, 0.0000], [0.6666, 0.3334, 0.0000]],
  "formation_enthalpy_0k_mev_per_atom": 34,
  "spacegroup": "C2/m, No. 12",
  "magnetic_moment_mub_per_fu": 0.50,
  "final_energy_ev_per_atom": -5.157
}

---

4.
{
  "formula": "TbCeHoTh",
  "functional": "PBE",
  "state": "optimized geometry",
  "lattice_angstrom": [[5.6444, 0.0000, 0.0000], [2.8222, 4.8882, 0.0000], [2.8222, 1.6294, 4.6086]],
  "species": ["Ce", "Tb", "Ho", "Th"],
  "fractional_positions": [[0.2500, 0.2500, 0.2500], [0.0000, 0.0000, 0.0000], [0.7500, 0.7500, 0.7500], [0.5000, 0.5000, 0.5000]],
  "formation_enthalpy_0k_mev_per_atom": 226,
  "spacegroup": "F-43m, No. 216",
  "magnetic_moment_mub_per_fu": 2.60,
  "final_energy_ev_per_atom": -5.414,
  "e_above_lowest_polymorph_mev_per_atom": 199.1
}

---

5.
{
  "formula": "Tb3CeHo6Th2",
  "functional": "PBE",
  "state": "optimized geometry",
  "lattice_angstrom": [[6.1377, -0.0004, 0.0021], [-3.0677, 5.3161, 0.0021], [-1.0282, -1.7804, 11.4882]],
  "species": ["Tb", "Tb", "Tb", "Ce", "Ho", "Ho", "Ho", "Ho", "Ho", "Ho", "Th", "Th"],
  "fractional_positions": [[0.1669, 0.8331, 0.5000], [0.8331, 0.1669, 0.5000], [0.5000, 0.5000, 0.5000], [0.0000, 0.0000, 0.0000], [0.9178, 0.5833, 0.7538], [0.7479, 0.7479, 0.2465], [0.0822, 0.4167, 0.2462], [0.5833, 0.9178, 0.7538], [0.2521, 0.2521, 0.7535], [0.4167, 0.0822, 0.2462], [0.3334, 0.6666, 0.0000], [0.6666, 0.3334, 0.0000]],
  "formation_enthalpy_0k_mev_per_atom": 30,
  "spacegroup": "C2/m, No. 12",
  "magnetic_moment_mub_per_fu": 0.52,
  "final_energy_ev_per_atom": -5.148
}

---

6.
{
  "formula": "TbCeHoTh",
  "functional": "PBE",
  "state": "optimized geometry",
  "lattice_angstrom": [[3.5442, -0.0004, 0.0009], [-1.7717, 3.0694, -0.0008], [-1.7774, -1.0227, 11.3759]],
  "species": ["Tb", "Ce", "Ho", "Th"],
  "fractional_positions": [[0.9681, 0.3819, 0.3656], [0.3040, 0.5501, 0.8703], [0.4721, 0.1341, 0.6205], [0.1337, 0.9647, 0.1134]],
  "formation_enthalpy_0k_mev_per_atom": 27,
  "spacegroup": "R3m, No. 160",
  "magnetic_moment_mub_per_fu": 0.01,
  "final_energy_ev_per_atom": -5.613,
  "e_above_lowest_polymorph_mev_per_atom": 0.0
}

---

7.
{
  "formula": "Tb3Ce2Ho6Th",
  "functional": "PBE",
  "state": "optimized geometry",
  "lattice_angstrom": [[-3.9505, 0.5433, -4.6345], [0.0904, -5.1100, 3.3556], [-6.4682, 6.0786, 7.5721]],
  "species": ["Tb", "Tb", "Tb", "Ce", "Ce", "Ho", "Ho", "Ho", "Ho", "Ho", "Ho", "Th"],
  "fractional_positions": [[0.1668, 0.8332, 0.5000], [0.8332, 0.1668, 0.5000], [0.5000, 0.5000, 0.5000], [0.3333, 0.6667, 0.0000], [0.6667, 0.3333, 0.0000], [0.9173, 0.5851, 0.7532], [0.7505, 0.7505, 0.2467], [0.0827, 0.4149, 0.2468], [0.5851, 0.9173, 0.7532], [0.2495, 0.2495, 0.7533], [0.4149, 0.0827, 0.2468], [0.0000, 0.0000, 0.0000]],
  "formation_enthalpy_0k_mev_per_atom": 40,
  "spacegroup": "C2/m, No. 12",
  "magnetic_moment_mub_per_fu": 1.22,
  "final_energy_ev_per_atom": -5.014
}

---

8.
{
  "formula": "Tb6Ce2Ho3Th",
  "functional": "PBE",
  "state": "optimized geometry",
  "lattice_angstrom": [[-6.1199, 0.1540, -0.1615], [3.1713, -1.0716, -5.1282], [0.6422, -11.0419, 3.9261]],
  "species": ["Tb", "Tb", "Tb", "Tb", "Tb", "Tb", "Ce", "Ce", "Ho", "Ho", "Ho", "Th"],
  "fractional_positions": [[0.9166, 0.5842, 0.7523], [0.7511, 0.7511, 0.2476], [0.0834, 0.4158, 0.2477], [0.5842, 0.9166, 0.7523], [0.2489, 0.2489, 0.7524], [0.4158, 0.0834, 0.2477], [0.3333, 0.6667, 0.0000], [0.6667, 0.3333, 0.0000], [0.1668, 0.8332, 0.5000], [0.8332, 0.1668, 0.5000], [0.5000, 0.5000, 0.5000], [0.0000, 0.0000, 0.0000]],
  "formation_enthalpy_0k_mev_per_atom": 44,
  "spacegroup": "C2/m, No. 12",
  "magnetic_moment_mub_per_fu": 1.23,
  "final_energy_ev_per_atom": -5.023
}

---

What is the formula in the fifth record?
Tb3CeHo6Th2

---

Please write out number 1 again, unchanged.
{
  "formula": "Tb3Ce3HoTe8",
  "functional": "PBE",
  "state": "optimized geometry",
  "lattice_angstrom": [[8.7965, 0.0003, -0.0002], [-4.3978, 7.6179, -0.0267], [-0.0007, -5.0530, 7.2936]],
  "species": ["Tb", "Tb", "Tb", "Ce", "Ce", "Ce", "Ho", "Te", "Te", "Te", "Te", "Te", "Te", "Te", "Te"],
  "fractional_positions": [[0.5000, 0.0000, 0.5000], [0.5000, 0.5000, 0.5000], [0.0000, 0.5000, 0.5000], [0.0000, 0.0000, 0.0000], [0.0000, 0.5000, 0.0000], [0.5000, 0.5000, 0.0000], [0.0000, 0.0000, 0.5000], [0.2531, 0.5062, 0.2593], [0.7469, 0.4938, 0.7407], [0.7493, 0.4985, 0.2558], [0.2507, 0.5015, 0.7442], [0.7493, 0.0066, 0.2558], [0.2507, 0.9934, 0.7442], [0.2573, 0.0066, 0.2558], [0.7427, 0.9934, 0.7442]],
  "spacegroup": "R-3m, No. 166",
  "magnetic_moment_mub_per_fu": 3.89,
  "final_energy_ev_per_atom": -5.482,
  "formation_energy_uncorrected_mev_per_atom": -1388
}